# GGA-PBE TbTmTh2Sc4, optimized geometry
data_TbTmTh2Sc4
_chemical_formula_sum 'Tb4 Tm4 Th8 Sc16'
_space_group_name_H-M_alt 'I m m a'
_space_group_IT_number 74
_space_group_name_Hall '-I 2b 2'
_cell_length_a 6.5130
_cell_length_b 11.2112
_cell_length_c 12.7388
_cell_angle_alpha 90.00
_cell_angle_beta 90.00
_cell_angle_gamma 90.00
loop_
_atom_site_label
_atom_site_fract_x
_atom_site_fract_y
_atom_site_fract_z
Tb1 0.2500 0.2500 0.2500
Tm1 0.0000 0.0000 0.0000
Th1 0.0000 0.0000 0.5000
Th2 0.2500 0.2500 0.7500
Sc1 0.0000 0.0057 0.7537
Sc2 0.2463 0.2500 0.5003
# - Uncorrected energy: -5.723 eV/atom
# - Total moment: 0.00 μB per formula unit

---

# GGA-PBE Li2CdHPt, optimized geometry
data_Li2CdHPt
_chemical_formula_sum 'Li2 Cd1 H1 Pt1'
_space_group_name_H-M_alt 'P 4/m m m'
_space_group_IT_number 123
_space_group_name_Hall '-P 4 2'
_cell_length_a 3.9756
_cell_length_b 3.9756
_cell_length_c 4.1741
_cell_angle_alpha 90.00
_cell_angle_beta 90.00
_cell_angle_gamma 90.00
loop_
_atom_site_label
_atom_site_fract_x
_atom_site_fract_y
_atom_site_fract_z
Li1 0.0000 0.5000 0.0000
Cd1 0.0000 0.0000 0.5000
H1 0.0000 0.0000 0.0000
Pt1 0.5000 0.5000 0.5000
# - Uncorrected energy: -3.124 eV/atom
# - Total moment: 0.00 μB per formula unit
# - ΔE to the lowest computed polymorph: 124.8 meV/atom